12
Lattice="7.150 -0.001 0.000 -3.574 6.193 0.000 -1.192 -2.065 8.071" Properties=species:S:1:pos:R:3 comment="PBE-GGA Sm6IrRu2I3, relaxed" total_magnetization_mub_per_atom=0.0000 dos_at_fermi_per_ev_fu=6.2 crystal_system=monoclinic final_energy_ev_per_cell=-69.2 pbc="T T T"
Sm 3.589 2.039 6.583
Sm 2.370 4.103 1.487
Sm -1.206 2.088 1.488
Sm -0.028 4.128 6.583
Sm 0.014 0.024 6.585
Sm 2.411 0.000 1.488
Ir 0.000 0.000 0.000
Ru 0.001 4.128 0.000
Ru 3.575 2.064 0.000
I -2.377 4.124 4.036
I 4.760 0.003 4.036
I 1.192 2.064 4.036